A plane-wave DFT calculation with PBE was carried out for a relaxed structure of LaTl2Au.

abc: 5.054 4.129 5.471
angles: 81.54 90.00 90.00
Atoms (fractional coordinates):
Au: 0.500 0.250 0.250
La: 0.500 0.750 0.750
Tl: 0.000 0.054 0.026
Tl: 0.000 0.446 0.474

Output
energy relative to the lowest polymorph listed for this composition = 165 meV per atom
ΔH_f (0 K) = -1.3 eV/f.u.
total magnetization = 0.00 μB per cell